A relaxed GaTcMo2Ir crystal. Source: the Alexandria database, functional PBE.

Cell: 4.781 4.781 4.560 Å, 90.00 90.00 90.00°
Atoms (fractional coordinates):
1 Ga 0.000 0.000 0.000
2 Tc 0.500 0.500 0.000
3 Mo 0.000 0.500 0.500
4 Mo 0.500 0.000 0.500
5 Ir 0.000 0.000 0.500

Computed properties:
Space-group type ... P4/mmm (123)
E_form ... 1.5337 eV/atom



A relaxed GaMoIrW crystal. Source: the Alexandria database, functional PBE.

Cell: 4.423 4.423 4.423 Å, 60.00 60.00 60.00°
Atoms (fractional coordinates):
1 Ga 0.000 0.000 0.000
2 Mo 0.750 0.750 0.750
3 Ir 0.250 0.250 0.250
4 W 0.500 0.500 0.500

Computed properties:
Space-group type ... F-43m (216)
E_form ... -0.0637 eV/atom



A relaxed ZnGaMoIr2 crystal. Source: the Alexandria database, functional PBE.

Cell: 4.530 4.530 4.614 Å, 90.00 90.00 90.00°
Atoms (fractional coordinates):
1 Zn 0.000 0.000 0.000
2 Ga 0.500 0.500 0.500
3 Mo 0.000 0.000 0.500
4 Ir 0.000 0.500 0.000
5 Ir 0.500 0.000 0.000

Computed properties:
Space-group type ... P4/mmm (123)
E_form ... 1.4121 eV/atom



A relaxed Ga2IrN crystal. Source: the Alexandria database, functional PBE.

Cell: 5.582 5.582 5.582 Å, 120.40 120.40 89.30°
Atoms (fractional coordinates):
1 Ga 0.051 0.625 0.926
2 Ga 0.375 0.301 0.426
3 Ga 0.699 0.125 0.074
4 Ga 0.875 0.949 0.574
5 Ir 0.250 0.750 0.500
6 Ir 0.500 0.500 0.000
7 N 0.000 0.000 0.000
8 N 0.750 0.250 0.500

Computed properties:
Space-group type ... I-42d (122)
Raw formation energy ... 0.17 eV per atom



A relaxed GaIr3N crystal. Source: the Alexandria database, functional PBE.

Cell: 4.582 4.582 4.582 Å, 90.00 90.00 90.00°
Atoms (fractional coordinates):
1 Ga 0.000 0.000 0.000
2 Ir 0.000 0.000 0.500
3 Ir 0.000 0.500 0.000
4 Ir 0.500 0.000 0.000
5 N 0.500 0.500 0.500

Computed properties:
Space-group type ... Pm-3m (221)
Energy relative to the lowest polymorph listed for this composition ... 47.912 kcal/mol of atoms
Raw formation energy ... 2.65 eV per atom



A relaxed Ga3IrN crystal. Source: the Alexandria database, functional PBE.

Cell: 4.804 4.804 4.804 Å, 90.00 90.00 90.00°
Atoms (fractional coordinates):
1 Ga 0.000 0.000 0.500
2 Ga 0.000 0.500 0.000
3 Ga 0.500 0.000 0.000
4 Ir 0.000 0.000 0.000
5 N 0.500 0.500 0.500

Computed properties:
Space-group type ... Pm-3m (221)
Energy relative to the lowest polymorph listed for this composition ... 6.147 kcal/mol of atoms
Raw formation energy ... 0.67 eV per atom



A relaxed GaIrN crystal. Source: the Alexandria database, functional PBE.

Cell: 4.600 4.600 7.723 Å, 98.67 98.67 35.61°
Atoms (fractional coordinates):
1 Ga 0.156 0.156 0.110
2 Ga 0.844 0.844 0.890
3 Ir 0.095 0.095 0.760
4 Ir 0.905 0.905 0.240
5 N 0.471 0.471 0.422
6 N 0.529 0.529 0.578

Computed properties:
Space-group type ... C2/m (12)
Raw formation energy ... 0.19 eV per atom



A relaxed GaIrN3 crystal. Source: the Alexandria database, functional PBE.

Cell: 3.883 3.883 3.883 Å, 90.00 90.00 90.00°
Atoms (fractional coordinates):
1 Ga 0.000 0.000 0.000
2 Ir 0.500 0.500 0.500
3 N 0.000 0.500 0.500
4 N 0.500 0.000 0.500
5 N 0.500 0.500 0.000

Computed properties:
Space-group type ... Pm-3m (221)
Raw formation energy ... 1.32 eV per atom



A relaxed Ga3IrN crystal. Source: the Alexandria database, functional PBE.

Cell: 4.123 4.123 4.123 Å, 90.00 90.00 90.00°
Atoms (fractional coordinates):
1 Ga 0.000 0.000 0.500
2 Ga 0.000 0.500 0.000
3 Ga 0.500 0.000 0.000
4 Ir 0.500 0.500 0.500
5 N 0.000 0.000 0.000

Computed properties:
Space-group type ... Pm-3m (221)
Energy relative to the lowest polymorph listed for this composition ... 0.000 kcal/mol of atoms
Raw formation energy ... 0.40 eV per atom



A relaxed GaIr2N crystal. Source: the Alexandria database, functional PBE.

Cell: 4.166 4.166 4.166 Å, 60.00 60.00 60.00°
Atoms (fractional coordinates):
1 Ga 0.000 0.000 0.000
2 Ir 0.250 0.250 0.250
3 Ir 0.750 0.750 0.750
4 N 0.500 0.500 0.500

Computed properties:
Space-group type ... Fm-3m (225)
Energy relative to the lowest polymorph listed for this composition ... 13.198 kcal/mol of atoms
Raw formation energy ... 0.97 eV per atom



A relaxed GaIr3N crystal. Source: the Alexandria database, functional PBE.

Cell: 4.104 4.104 4.104 Å, 90.00 90.00 90.00°
Atoms (fractional coordinates):
1 Ga 0.000 0.000 0.000
2 Ir 0.000 0.500 0.500
3 Ir 0.500 0.000 0.500
4 Ir 0.500 0.500 0.000
5 N 0.500 0.500 0.500

Computed properties:
Space-group type ... Pm-3m (221)
Energy relative to the lowest polymorph listed for this composition ... 0.000 kcal/mol of atoms
Raw formation energy ... 0.57 eV per atom



A relaxed GaIr2N crystal. Source: the Alexandria database, functional PBE.

Cell: 5.992 5.992 5.992 Å, 127.92 127.92 76.76°
Atoms (fractional coordinates):
1 Ga 0.000 0.000 0.000
2 Ga 0.750 0.250 0.500
3 Ir 0.215 0.625 0.090
4 Ir 0.375 0.465 0.590
5 Ir 0.535 0.125 0.910
6 Ir 0.875 0.785 0.410
7 N 0.250 0.750 0.500
8 N 0.500 0.500 0.000

Computed properties:
Space-group type ... I-42d (122)
Energy relative to the lowest polymorph listed for this composition ... 0.000 kcal/mol of atoms
Raw formation energy ... 0.39 eV per atom



A relaxed GaIrN3 crystal. Source: the Alexandria database, functional PBE.

Cell: 3.784 3.784 3.784 Å, 90.00 90.00 90.00°
Atoms (fractional coordinates):
1 Ga 0.000 0.000 0.000
2 Ir 0.500 0.500 0.500
3 N 0.000 0.000 0.500
4 N 0.000 0.500 0.000
5 N 0.500 0.000 0.000

Computed properties:
Space-group type ... Pm-3m (221)
Raw formation energy ... 2.07 eV per atom



A relaxed GaIrNO2 crystal. Source: the Alexandria database, functional PBE.

Cell: 3.756 3.756 3.899 Å, 90.00 90.00 90.00°
Atoms (fractional coordinates):
1 Ga 0.000 0.000 0.000
2 Ir 0.500 0.500 0.500
3 N 0.000 0.000 0.500
4 O 0.000 0.500 0.000
5 O 0.500 0.000 0.000

Computed properties:
Space-group type ... P4/mmm (123)
Raw formation energy ... 0.72 eV per atom



A relaxed GaIrN2O crystal. Source: the Alexandria database, functional PBE.

Cell: 3.815 3.815 3.793 Å, 90.00 90.00 90.00°
Atoms (fractional coordinates):
1 Ga 0.000 0.000 0.000
2 Ir 0.500 0.500 0.500
3 N 0.000 0.500 0.000
4 N 0.500 0.000 0.000
5 O 0.000 0.000 0.500

Computed properties:
Space-group type ... P4/mmm (123)
Raw formation energy ... 1.40 eV per atom



A relaxed GaIrN2O crystal. Source: the Alexandria database, functional PBE.

Cell: 3.789 3.789 4.348 Å, 90.00 90.00 90.00°
Atoms (fractional coordinates):
1 Ga 0.000 0.000 0.000
2 Ir 0.500 0.500 0.500
3 N 0.000 0.500 0.500
4 N 0.500 0.000 0.500
5 O 0.500 0.500 0.000

Computed properties:
Space-group type ... P4/mmm (123)
Raw formation energy ... 0.64 eV per atom



A relaxed GaIrNO2 crystal. Source: the Alexandria database, functional PBE.

Cell: 3.406 3.406 6.678 Å, 90.00 90.00 90.00°
Atoms (fractional coordinates):
1 Ga 0.000 0.000 0.000
2 Ir 0.000 0.000 0.500
3 N 0.500 0.500 0.500
4 O 0.000 0.500 0.000
5 O 0.500 0.000 0.000

Computed properties:
Space-group type ... P4/mmm (123)
Raw formation energy ... 0.93 eV per atom



A relaxed GaIrNO2 crystal. Source: the Alexandria database, functional PBE.

Cell: 4.024 4.024 3.756 Å, 90.00 90.00 90.00°
Atoms (fractional coordinates):
1 Ga 0.000 0.000 0.000
2 Ir 0.500 0.500 0.500
3 N 0.500 0.500 0.000
4 O 0.000 0.500 0.500
5 O 0.500 0.000 0.500

Computed properties:
Space-group type ... P4/mmm (123)
Raw formation energy ... 0.07 eV per atom



A relaxed PaGaIrN crystal. Source: the Alexandria database, functional PBE.

Cell: 4.122 4.122 7.595 Å, 90.00 90.00 90.00°
Atoms (fractional coordinates):
1 Pa 0.250 0.250 0.143
2 Pa 0.750 0.750 0.857
3 Ga 0.250 0.250 0.681
4 Ga 0.750 0.750 0.319
5 Ir 0.250 0.750 0.500
6 Ir 0.750 0.250 0.500
7 N 0.250 0.750 0.000
8 N 0.750 0.250 0.000

Computed properties:
Space-group type ... P4/nmm (129)
Raw formation energy ... -1.02 eV per atom



A relaxed PmGaIrN crystal. Source: the Alexandria database, functional PBE.

Cell: 3.906 3.906 8.935 Å, 90.00 90.00 90.00°
Atoms (fractional coordinates):
1 Pm 0.250 0.250 0.142
2 Pm 0.750 0.750 0.858
3 Ga 0.250 0.250 0.670
4 Ga 0.750 0.750 0.330
5 Ir 0.250 0.750 0.500
6 Ir 0.750 0.250 0.500
7 N 0.250 0.250 0.886
8 N 0.750 0.750 0.114

Computed properties:
Space-group type ... P4/nmm (129)
Raw formation energy ... -0.76 eV per atom



A relaxed RbGaIr2N crystal. Source: the Alexandria database, functional PBE.

Cell: 5.093 5.093 4.389 Å, 90.00 90.00 90.00°
Atoms (fractional coordinates):
1 Rb 0.000 0.000 0.000
2 Ga 0.500 0.500 0.500
3 Ir 0.000 0.500 0.000
4 Ir 0.500 0.000 0.000
5 N 0.000 0.000 0.500

Computed properties:
Space-group type ... P4/mmm (123)
Energy relative to the lowest polymorph listed for this composition ... 0.000 kcal/mol of atoms
Raw formation energy ... 3.13 eV per atom



A relaxed RbGaIr2N crystal. Source: the Alexandria database, functional PBE.

Cell: 5.092 5.092 6.215 Å, 90.00 90.00 90.00°
Atoms (fractional coordinates):
1 Rb 0.000 0.000 0.000
2 Ga 0.000 0.000 0.500
3 Ir 0.000 0.500 0.000
4 Ir 0.500 0.000 0.000
5 N 0.500 0.500 0.500

Computed properties:
Space-group type ... P4/mmm (123)
Energy relative to the lowest polymorph listed for this composition ... 8.388 kcal/mol of atoms
Raw formation energy ... 3.49 eV per atom



A relaxed Ga2ReIrN crystal. Source: the Alexandria database, functional PBE.

Cell: 4.750 4.750 4.881 Å, 90.00 90.00 90.00°
Atoms (fractional coordinates):
1 Ga 0.000 0.500 0.000
2 Ga 0.500 0.000 0.000
3 Re 0.000 0.000 0.500
4 Ir 0.000 0.000 0.000
5 N 0.500 0.500 0.500

Computed properties:
Space-group type ... P4/mmm (123)
Raw formation energy ... 1.71 eV per atom



A relaxed GaIrSN2 crystal. Source: the Alexandria database, functional PBE.

Cell: 3.683 3.683 5.478 Å, 90.00 90.00 90.00°
Atoms (fractional coordinates):
1 Ga 0.000 0.000 0.000
2 Ir 0.500 0.500 0.500
3 S 0.000 0.000 0.500
4 N 0.000 0.500 0.000
5 N 0.500 0.000 0.000

Computed properties:
Space-group type ... P4/mmm (123)
Energy relative to the lowest polymorph listed for this composition ... 22.355 kcal/mol of atoms
Raw formation energy ... 1.67 eV per atom



A relaxed GaIrSN2 crystal. Source: the Alexandria database, functional PBE.

Cell: 3.779 3.779 5.386 Å, 90.00 90.00 90.00°
Atoms (fractional coordinates):
1 Ga 0.000 0.000 0.000
2 Ir 0.500 0.500 0.500
3 S 0.500 0.500 0.000
4 N 0.000 0.500 0.500
5 N 0.500 0.000 0.500

Computed properties:
Space-group type ... P4/mmm (123)
Energy relative to the lowest polymorph listed for this composition ... 0.000 kcal/mol of atoms
Raw formation energy ... 0.70 eV per atom



A relaxed SmGaIrN crystal. Source: the Alexandria database, functional PBE.

Cell: 3.893 3.893 8.929 Å, 90.00 90.00 90.00°
Atoms (fractional coordinates):
1 Sm 0.250 0.250 0.141
2 Sm 0.750 0.750 0.859
3 Ga 0.250 0.250 0.671
4 Ga 0.750 0.750 0.329
5 Ir 0.250 0.750 0.500
6 Ir 0.750 0.250 0.500
7 N 0.250 0.250 0.886
8 N 0.750 0.750 0.114

Computed properties:
Space-group type ... P4/nmm (129)
Raw formation energy ... -0.76 eV per atom



A relaxed Sr2GaIrN crystal. Source: the Alexandria database, functional PBE.

Cell: 5.457 5.457 3.815 Å, 90.00 90.00 90.00°
Atoms (fractional coordinates):
1 Sr 0.000 0.500 0.000
2 Sr 0.500 0.000 0.000
3 Ga 0.000 0.000 0.500
4 Ir 0.500 0.500 0.500
5 N 0.500 0.500 0.000

Computed properties:
Space-group type ... P4/mmm (123)
Raw formation energy ... -0.48 eV per atom



A relaxed TaGa2IrN crystal. Source: the Alexandria database, functional PBE.

Cell: 4.516 4.516 3.723 Å, 90.00 90.00 90.00°
Atoms (fractional coordinates):
1 Ta 0.000 0.000 0.000
2 Ga 0.000 0.500 0.500
3 Ga 0.500 0.000 0.500
4 Ir 0.500 0.500 0.000
5 N 0.500 0.500 0.500

Computed properties:
Space-group type ... P4/mmm (123)
Raw formation energy ... 0.44 eV per atom